Density functional theory data (PBE-GGA) for a geometry-optimized TaSb structure.

- magnetic moment (μB/f.u.) = 0.00
- density of states at the Fermi level (states/eV/f.u.) = 0.599
- formation energy (no corrections) (kJ/mol of formula units) = -14
- space-group type = P4/nmm

a b c (Å): 3.5483 3.5483 6.7894
angles (deg): 90.00 90.00 90.00
With the nearest neighbours (Å) after each atom.
Atoms (fractional coordinates):
Sb  0.0000  0.0000  0.9487  5 Ta 2.87-3.00
Sb  0.5000  0.5000  0.3013  5 Ta 2.87-3.00
Ta  0.0000  0.0000  0.5066  5 Sb 2.87-3.00, 4 Ta 2.98
Ta  0.5000  0.5000  0.7434  5 Sb 2.87-3.00, 4 Ta 2.98

=====

Density functional theory data (PBE-GGA) for a geometry-optimized Ta3Sb structure.

- magnetic moment (μB/f.u.) = 0.00
- density of states at the Fermi level (states/eV/f.u.) = 1.923
- formation energy (no corrections) (kJ/mol of formula units) = -5
- space-group type = Immm

a b c (Å): 5.4257 5.4257 5.4257
angles (deg): 141.62 129.53 65.14
With the nearest neighbours (Å) after each atom.
Atoms (fractional coordinates):
Sb  0.0000  0.0000  0.0000  12 Ta 2.92-3.19
Ta  0.7404  0.2404  0.5000  6 Ta 2.83-2.93, 2 Sb 2.97
Ta  0.5000  0.5000  0.0000  4 Ta 2.83, 4 Sb 2.92
Ta  0.2596  0.7596  0.5000  6 Ta 2.83-2.93, 2 Sb 2.97

=====

Density functional theory data (PBE-GGA) for a geometry-optimized TaSb structure.

- magnetic moment (μB/f.u.) = 0.00
- density of states at the Fermi level (states/eV/f.u.) = 1.622
- formation energy (no corrections) (kJ/mol of formula units) = 40
- space-group type = Pmmn

a b c (Å): 3.1992 5.2310 4.8868
angles (deg): 90.00 90.00 90.00
With the nearest neighbours (Å) after each atom.
Atoms (fractional coordinates):
Sb  0.0000  0.0000  0.0385  6 Ta 2.88-2.96, 2 Sb 3.20
Sb  0.5000  0.5000  0.7949  6 Ta 2.88-2.96, 2 Sb 3.20
Ta  0.5000  0.0000  0.5288  6 Sb 2.88-2.96, 2 Ta 3.20
Ta  0.0000  0.5000  0.3045  6 Sb 2.88-2.96, 2 Ta 3.20

=====

Density functional theory data (PBE-GGA) for a geometry-optimized TaSb3 structure.

- magnetic moment (μB/f.u.) = 0.00
- density of states at the Fermi level (states/eV/f.u.) = 4.083
- formation energy (no corrections) (kJ/mol of formula units) = 209
- space-group type = I4/mmm

a b c (Å): 5.6869 5.6869 5.6869
angles (deg): 133.85 133.85 67.32
With the nearest neighbours (Å) after each atom.
Atoms (fractional coordinates):
Sb  0.2500  0.7500  0.5000  8 Sb 3.15-3.25, 4 Ta 3.25
Sb  0.5000  0.5000  0.0000  4 Ta 3.15, 8 Sb 3.25
Sb  0.7500  0.2500  0.5000  8 Sb 3.15-3.25, 4 Ta 3.25
Ta  0.0000  0.0000  0.0000  12 Sb 3.15-3.25

=====

Density functional theory data (PBE-GGA) for a geometry-optimized Ta3Sb structure.

- magnetic moment (μB/f.u.) = 0.00
- density of states at the Fermi level (states/eV/f.u.) = 1.857
- formation energy (no corrections) (kJ/mol of formula units) = 8
- space-group type = P4/mmm

a b c (Å): 3.8419 4.4203 4.4178
angles (deg): 90.00 90.00 90.00
With the nearest neighbours (Å) after each atom.
Atoms (fractional coordinates):
Sb  0.0000  0.5000  0.4167  12 Ta 2.93-3.12
Ta  0.0000  0.0000  0.9167  8 Ta 2.93, 4 Sb 3.12
Ta  0.5000  0.0000  0.4167  8 Ta 2.93-3.12, 4 Sb 2.93
Ta  0.5000  0.5000  0.9167  4 Sb 2.93, 8 Ta 2.93-3.12

=====

Density functional theory data (PBE-GGA) for a geometry-optimized TaSb3 structure.

- magnetic moment (μB/f.u.) = 0.00
- density of states at the Fermi level (states/eV/f.u.) = 2.458
- formation energy (no corrections) (kJ/mol of formula units) = 170
- space-group type = I4/mmm

a b c (Å): 12.8174 12.8174 12.8174
angles (deg): 161.51 161.51 26.26
With the nearest neighbours (Å) after each atom.
Atoms (fractional coordinates):
Ta  0.6691  0.6691  0.0000  8 Sb 2.88-3.12
Ta  0.3309  0.3309  0.0000  8 Sb 2.88-3.12
Sb  0.0000  0.5000  0.5000  4 Sb 2.91
Sb  0.5000  0.0000  0.5000  4 Sb 2.91
Sb  0.7500  0.2500  0.5000  4 Ta 2.88, 4 Sb 2.91
Sb  0.2500  0.7500  0.5000  4 Ta 2.88, 4 Sb 2.91
Sb  0.8762  0.8762  0.0000  4 Ta 3.12
Sb  0.1238  0.1238  0.0000  4 Ta 3.12

=====

Density functional theory data (PBE-GGA) for a geometry-optimized TaSb structure.

- magnetic moment (μB/f.u.) = 0.00
- density of states at the Fermi level (states/eV/f.u.) = 1.213
- formation energy (no corrections) (kJ/mol of formula units) = 30
- space-group type = Cm

a b c (Å): 6.2283 6.2283 6.6476
angles (deg): 71.42 71.42 32.11
With the nearest neighbours (Å) after each atom.
Atoms (fractional coordinates):
Ta  0.0010  0.0010  0.0134  6 Sb 2.81-3.04, 3 Ta 2.95-3.09
Ta  0.0805  0.0805  0.3882  3 Ta 2.85-2.95, 3 Sb 2.86-2.94
Ta  0.7083  0.7083  0.0494  5 Sb 2.74-3.02, 2 Ta 2.85
Sb  0.6536  0.6536  0.6800  5 Ta 2.74-2.94, 1 Sb 3.02
Sb  0.3322  0.3322  0.2838  5 Ta 2.81-3.02
Sb  0.3911  0.3911  0.7518  6 Ta 2.97-3.21, 1 Sb 3.02

=====

Density functional theory data (PBE-GGA) for a geometry-optimized TaSb3 structure.

- magnetic moment (μB/f.u.) = 0.00
- density of states at the Fermi level (states/eV/f.u.) = 1.068
- formation energy (no corrections) (kJ/mol of formula units) = 32
- space-group type = Imm2

a b c (Å): 5.6875 5.6875 5.6875
angles (deg): 142.16 117.80 75.16
With the nearest neighbours (Å) after each atom.
Atoms (fractional coordinates):
Sb  0.3189  0.3068  0.0121  1 Sb 2.84, 3 Ta 2.97-3.10
Sb  0.7052  0.6932  0.0121  1 Sb 2.84, 3 Ta 2.97-3.10
Sb  0.8934  0.5000  0.3934  2 Ta 2.79, 2 Sb 2.84
Ta  0.2491  0.0000  0.2491  8 Sb 2.79-3.10

=====

Density functional theory data (PBE-GGA) for a geometry-optimized Ta2Sb structure.

- magnetic moment (μB/f.u.) = 0.00
- density of states at the Fermi level (states/eV/f.u.) = 1.861
- formation energy (no corrections) (kJ/mol of formula units) = 13
- space-group type = Cmcm

a b c (Å): 7.0176 7.0176 4.7110
angles (deg): 90.00 90.00 150.19
With the nearest neighbours (Å) after each atom.
Atoms (fractional coordinates):
Ta  0.4269  0.5731  0.2500  4 Ta 2.85-3.08, 6 Sb 2.91-2.98
Ta  0.5731  0.4269  0.7500  4 Ta 2.85-3.08, 6 Sb 2.91-2.98
Ta  0.7639  0.2361  0.2500  6 Ta 2.85-2.99, 4 Sb 2.92-3.03
Ta  0.2361  0.7639  0.7500  6 Ta 2.85-2.99, 4 Sb 2.92-3.03
Sb  0.0950  0.9050  0.2500  10 Ta 2.91-3.03
Sb  0.9050  0.0950  0.7500  10 Ta 2.91-3.03

=====

Density functional theory data (PBE-GGA) for a geometry-optimized TaSb structure.

- magnetic moment (μB/f.u.) = 0.00
- density of states at the Fermi level (states/eV/f.u.) = 1.373
- formation energy (no corrections) (kJ/mol of formula units) = 32
- space-group type = I4/m

a b c (Å): 10.6755 10.6755 3.5965
angles (deg): 90.00 90.00 90.00
With the nearest neighbours (Å) after each atom.
Atoms (fractional coordinates):
Ta  0.3694  0.9330  0.0000  4 Sb 2.78-3.01, 4 Ta 2.85
Ta  0.6306  0.0670  0.0000  4 Sb 2.78-3.01, 4 Ta 2.85
Ta  0.0670  0.3694  0.0000  4 Sb 2.78-3.01, 4 Ta 2.85
Ta  0.9330  0.6306  0.0000  4 Sb 2.78-3.01, 4 Ta 2.85
Ta  0.8694  0.4330  0.5000  4 Sb 2.78-3.01, 4 Ta 2.85
Ta  0.1306  0.5670  0.5000  4 Sb 2.78-3.01, 4 Ta 2.85
Ta  0.5670  0.8694  0.5000  4 Sb 2.78-3.01, 4 Ta 2.85
Ta  0.4330  0.1306  0.5000  4 Sb 2.78-3.01, 4 Ta 2.85
Sb  0.2069  0.1367  0.0000  4 Ta 2.78-3.01
Sb  0.7931  0.8633  0.0000  4 Ta 2.78-3.01
Sb  0.8633  0.2069  0.0000  4 Ta 2.78-3.01
Sb  0.1367  0.7931  0.0000  4 Ta 2.78-3.01
Sb  0.7069  0.6367  0.5000  4 Ta 2.78-3.01
Sb  0.2931  0.3633  0.5000  4 Ta 2.78-3.01
Sb  0.3633  0.7069  0.5000  4 Ta 2.78-3.01
Sb  0.6367  0.2931  0.5000  4 Ta 2.78-3.01